Here is an optimized crystal structure of TlSbBr2 from Alexandria via LeMat-Bulk. Energies are from PBE-GGA.

```
data_TlSbBr2
_cell_length_a 5.232
_cell_length_b 5.232
_cell_length_c 7.178
_cell_angle_alpha 91.82
_cell_angle_beta 91.82
_cell_angle_gamma 41.68
_space_group_name_H-M_alt 'P 1'
_space_group_IT_number 1
_space_group_name_Hall 'P 1'
loop_
_atom_site_label
_atom_site_fract_x
_atom_site_fract_y
_atom_site_fract_z
_atom_site_occupancy
Tl1 0.000 0.000 0.000 1
Sb1 0.500 0.500 0.500 1
Br1 0.280 0.280 0.738 1
Br2 0.720 0.720 0.262 1
```

Properties
The value obtained for the uncorrected formation energy is -0.30 eV/atom. The calculation puts the calculated total energy at -0.202 Ry per atom.

Here is an optimized crystal structure of TiPN3 from Alexandria via LeMat-Bulk. Energies are from PBE-GGA.

```
data_TiPN3
_cell_length_a 3.907
_cell_length_b 3.907
_cell_length_c 3.907
_cell_angle_alpha 90.00
_cell_angle_beta 90.00
_cell_angle_gamma 90.00
_space_group_name_H-M_alt 'P 1'
_space_group_IT_number 1
_space_group_name_Hall 'P 1'
loop_
_atom_site_label
_atom_site_fract_x
_atom_site_fract_y
_atom_site_fract_z
_atom_site_occupancy
Ti1 0.000 0.000 0.000 1
P1 0.500 0.500 0.500 1
N1 0.000 0.000 0.500 1
N2 0.000 0.500 0.000 1
N3 0.500 0.000 0.000 1
```

Properties
The value obtained for the uncorrected formation energy is 1.12 eV/atom. The calculation puts the calculated total energy at -0.480 Ry per atom.